This record from Alexandria via LeMat-Bulk describes a geometry-optimized CaCrC2 structure. The functional is PBE.

Unit cell a=4.0149 b=4.0149 c=4.0149 alpha=60.00 beta=60.00 gamma=60.00
Last column: nearest neighbours and their distance in Å.
Fractional coordinates of all 4 atoms:
Ca1 0.0000 0.0000 0.0000  8 C 2.46
Cr1 0.5000 0.5000 0.5000  8 C 2.46
C1 0.2500 0.2500 0.2500  4 Cr 2.46, 4 Ca 2.46
C2 0.7500 0.7500 0.7500  4 Cr 2.46, 4 Ca 2.46

Output
- Volume: 11.44 Å³ per atom
- E_form: 1.30 eV per atom
- Space-group type: Fm-3m
- Total magnetic moment: 2.00 Bohr magnetons per cell

This record from Alexandria via LeMat-Bulk describes a geometry-optimized CaCr3C structure. The functional is PBE.

Unit cell a=4.2353 b=4.2353 c=4.2353 alpha=90.00 beta=90.00 gamma=90.00
Last column: nearest neighbours and their distance in Å.
Fractional coordinates of all 5 atoms:
Ca1 0.0000 0.0000 0.0000  6 Cr 2.12
Cr1 0.0000 0.0000 0.5000  2 Ca 2.12
Cr2 0.0000 0.5000 0.0000  2 Ca 2.12
Cr3 0.5000 0.0000 0.0000  2 Ca 2.12
C1 0.5000 0.5000 0.5000  12 Cr 2.99

Output
- Volume: 15.19 Å³ per atom
- E_form: 3.77 eV per atom
- Space-group type: Pm-3m
- Total magnetic moment: 0.00 Bohr magnetons per cell

This record from Alexandria via LeMat-Bulk describes a geometry-optimized CaCr2C3 structure. The functional is PBE.

Unit cell a=5.8420 b=5.8420 c=5.0033 alpha=90.00 beta=90.00 gamma=112.72
Last column: nearest neighbours and their distance in Å.
Fractional coordinates of all 12 atoms:
Ca1 0.2103 0.7897 0.7500  8 C 2.87-3.21, 4 Cr 3.12
Ca2 0.7897 0.2103 0.2500  8 C 2.87-3.21, 4 Cr 3.12
Cr1 0.3090 0.3090 0.0000  4 C 1.93-1.94
Cr2 0.3090 0.3090 0.5000  4 C 1.93-1.94
Cr3 0.6910 0.6910 0.0000  4 C 1.93-1.94
Cr4 0.6910 0.6910 0.5000  4 C 1.93-1.94
C1 0.0356 0.1860 0.7500  1 C 1.43
C2 0.1860 0.0356 0.2500  1 C 1.43
C3 0.4169 0.5831 0.2500  4 Cr 1.94
C4 0.5831 0.4169 0.7500  4 Cr 1.94
C5 0.8140 0.9644 0.7500  1 C 1.43
C6 0.9644 0.8140 0.2500  1 C 1.43

Output
- Volume: 13.13 Å³ per atom
- E_form: 0.16 eV per atom
- Space-group type: Cmcm
- Total magnetic moment: 0.00 Bohr magnetons per cell

This record from Alexandria via LeMat-Bulk describes a geometry-optimized CaCrC2 structure. The functional is PBE.

Unit cell a=5.8304 b=5.8304 c=5.8304 alpha=30.57 beta=30.57 gamma=30.57
Last column: nearest neighbours and their distance in Å.
Fractional coordinates of all 4 atoms:
Ca1 0.0000 0.0000 0.0000  6 C 2.48
Cr1 0.5000 0.5000 0.5000  6 C 2.06
C1 0.2294 0.2294 0.2294  3 Cr 2.06
C2 0.7706 0.7706 0.7706  3 Cr 2.06

Output
- Volume: 11.36 Å³ per atom
- E_form: 0.51 eV per atom
- Space-group type: R-3m
- Total magnetic moment: 0.21 Bohr magnetons per cell

This record from Alexandria via LeMat-Bulk describes a geometry-optimized CaCrC2 structure. The functional is PBE.

Unit cell a=5.6466 b=5.6466 c=5.6466 alpha=124.37 beta=124.37 gamma=82.59
Last column: nearest neighbours and their distance in Å.
Fractional coordinates of all 8 atoms:
Ca1 0.0000 0.0000 0.0000  4 C 2.56
Ca2 0.7500 0.2500 0.5000  4 C 2.56
Cr1 0.2500 0.7500 0.5000  4 C 1.83
Cr2 0.5000 0.5000 0.0000  4 C 1.83
C1 0.2406 0.6250 0.1156  2 Cr 1.83
C2 0.3750 0.4906 0.6156  2 Cr 1.83
C3 0.5094 0.1250 0.8844  2 Cr 1.83
C4 0.8750 0.7594 0.3844  2 Cr 1.83

Output
- Volume: 14.73 Å³ per atom
- E_form: 0.35 eV per atom
- Space-group type: I-42d
- Total magnetic moment: 0.00 Bohr magnetons per cell

This record from Alexandria via LeMat-Bulk describes a geometry-optimized Ca2Cr2C3 structure. The functional is PBE.

Unit cell a=5.4713 b=5.4713 c=5.6019 alpha=105.51 beta=105.51 gamma=38.37
Last column: nearest neighbours and their distance in Å.
Fractional coordinates of all 7 atoms:
Ca1 0.0979 0.0979 0.3169  4 C 2.53-2.81
Ca2 0.9021 0.9021 0.6831  4 C 2.53-2.81
Cr1 0.3421 0.3421 0.0940  4 C 1.85-1.96
Cr2 0.6579 0.6579 0.9060  4 C 1.85-1.96
C1 0.1853 0.1853 0.7999  3 Cr 1.94-1.96
C2 0.5000 0.5000 0.0000  2 Cr 1.85
C3 0.8147 0.8147 0.2001  3 Cr 1.94-1.96

Output
- Volume: 14.26 Å³ per atom
- E_form: -0.08 eV per atom
- Space-group type: C2/m
- Total magnetic moment: 0.57 Bohr magnetons per cell

The lowest volume belongs to which entry?
number 4

Among the records above, which one has the lowest E_form?
Ca2Cr2C3

Please write out number 1 again, unchanged.
This record from Alexandria via LeMat-Bulk describes a geometry-optimized CaCrC2 structure. The functional is PBE.

Unit cell a=4.0149 b=4.0149 c=4.0149 alpha=60.00 beta=60.00 gamma=60.00
Last column: nearest neighbours and their distance in Å.
Fractional coordinates of all 4 atoms:
Ca1 0.0000 0.0000 0.0000  8 C 2.46
Cr1 0.5000 0.5000 0.5000  8 C 2.46
C1 0.2500 0.2500 0.2500  4 Cr 2.46, 4 Ca 2.46
C2 0.7500 0.7500 0.7500  4 Cr 2.46, 4 Ca 2.46

Output
- Volume: 11.44 Å³ per atom
- E_form: 1.30 eV per atom
- Space-group type: Fm-3m
- Total magnetic moment: 2.00 Bohr magnetons per cell

Which formula does entry 6 have?
Ca2Cr2C3